# K3VZn2F9

A relaxed structure of K3VZn2F9 (GGA+U, the Alexandria database).

Cell lengths 5.8786, 5.8786, 7.2105 Å; angles 90.00, 90.00, 120.00 degrees
Last column: nearest neighbours and their distance in Å.
Element x y z (fractional)
F: 0.8310 0.6621 0.6702  1 Zn 2.06, 1 V 2.11
F: 0.8310 0.1690 0.6702  1 Zn 2.06, 1 V 2.11
K: 0.6667 0.3333 0.3320  12 F 2.93-2.96
F: 0.1690 0.3379 0.3298  1 Zn 2.06, 1 V 2.11
Zn: 0.6667 0.3333 0.8359  6 F 2.06-2.07
F: 0.5000 0.5000 0.0000  2 Zn 2.07
F: 0.6621 0.8310 0.3298  1 Zn 2.06, 1 V 2.11
K: 0.0000 0.0000 0.0000  12 F 2.94
Zn: 0.3333 0.6667 0.1641  6 F 2.06-2.07
F: 0.3379 0.1690 0.6702  1 Zn 2.06, 1 V 2.11
F: 0.1690 0.8310 0.3298  1 Zn 2.06, 1 V 2.11
F: 0.5000 0.0000 0.0000  2 Zn 2.07
V: 0.0000 0.0000 0.5000  6 F 2.11
F: 0.0000 0.5000 0.0000  2 Zn 2.07
K: 0.3333 0.6667 0.6680  12 F 2.93-2.96

Summary:
- Magnetization: 3.000 μB/cell
- Raw total energy: -4.640 eV/atom